No. 1
VASP calculation (GGA-PBE) on a relaxed structure of ZrSi3.

The space group is P-6m2 (No. 187) and the conventional cell measures 3.0967, 3.0967 and 8.1878 Å, with angles of 90.00, 90.00 and 120.00 degrees. The inequivalent atoms are Zr at (0.0000, 0.0000, 0.0000), Si at (0.0000, 0.0000, 0.5000) and Si at (0.3333, 0.6667, 0.2714).

The density is 4.285 g cm⁻³. The calculation puts the uncorrected formation energy at 0.15 eV/atom. As for the density of states at the Fermi level: 2.9 states/eV per cell.

No. 2
VASP calculation (GGA-PBE) on a relaxed structure of TlCr2Co.

The space group is F-43m (No. 216) and the conventional cell measures 6.2135, 6.2135 and 6.2135 Å, with angles of 90.00, 90.00 and 90.00 degrees. The inequivalent atoms are Tl at (0.0000, 0.0000, 0.0000), Cr at (0.0000, 0.0000, 0.5000), Cr at (0.2500, 0.2500, 0.7500) and Co at (0.2500, 0.2500, 0.2500).

The distance to the lowest polymorph of the same formula is 0.065 eV/atom. Its calculated formation energy is 0.537 eV/atom. The density is 10.170 g cm⁻³. As for the density of states at the Fermi level: 19.9 states/eV per cell.

No. 3
VASP calculation (GGA-PBE) on a relaxed structure of ScPaAl.

The space group is P4/nmm (No. 129, origin choice 2) and the conventional cell measures 3.9863, 3.9863 and 8.5978 Å, with angles of 90.00, 90.00 and 90.00 degrees. The inequivalent atoms are Sc at (0.2500, 0.2500, 0.2419), Pa at (0.2500, 0.2500, 0.5982) and Al at (0.2500, 0.7500, 0.0000).

The distance to the lowest polymorph of the same formula is 0.306 eV/atom. Its calculated formation energy is 0.170 eV/atom. The density is 7.365 g cm⁻³. As for the density of states at the Fermi level: 7.2 states/eV per cell.

No. 4
VASP calculation (GGA-PBE) on a relaxed structure of La3Pm6SmY2.

The space group is C2/m (No. 12) and the conventional cell measures 6.3407, 10.9910 and 12.1443 Å, with angles of 90.00, 100.09 and 90.00 degrees. The inequivalent atoms are La at (0.0000, 0.0000, 0.0000), La at (0.0000, 0.3330, 0.0000), Pm at (0.2483, 0.3334, 0.7455), Pm at (0.2485, 0.0000, 0.7457), Sm at (0.0000, 0.5000, 0.5000) and Y at (0.0000, 0.1666, 0.5000).

Its calculated formation energy is 0.018 eV/atom. The density is 6.436 g cm⁻³. As for the density of states at the Fermi level: 40.2 states/eV per cell.

No. 5
VASP calculation (GGA-PBE) on a relaxed structure of Hf2ZrSc9.

The space group is P4/mmm (No. 123) and the conventional cell measures 4.5495, 4.5495 and 13.6734 Å, with angles of 90.00, 90.00 and 90.00 degrees. The inequivalent atoms are Hf at (0.0000, 0.0000, 0.1666), Zr at (0.0000, 0.0000, 0.5000), Sc at (0.0000, 0.5000, 0.0000), Sc at (0.0000, 0.5000, 0.3322), Sc at (0.5000, 0.5000, 0.1663) and Sc at (0.5000, 0.5000, 0.5000).

Its calculated formation energy is 0.064 eV/atom. The density is 5.004 g cm⁻³. As for the density of states at the Fermi level: 21.3 states/eV per cell.

No. 6
VASP calculation (GGA-PBE) on a relaxed structure of ErScSb2.

The space group is P-3m1 (No. 164) and the conventional cell measures 4.2470, 4.2470 and 7.1794 Å, with angles of 90.00, 90.00 and 120.00 degrees. The inequivalent atoms are Er at (0.0000, 0.0000, 0.0000), Sc at (0.0000, 0.0000, 0.5000) and Sb at (0.3333, 0.6667, 0.7373).

The distance to the lowest polymorph of the same formula is 0.029 eV/atom. The density is 6.748 g cm⁻³. The calculation puts the uncorrected formation energy at -0.98 eV/atom. As for the density of states at the Fermi level: 1.0 states/eV per cell.